NaLiCr2Fe | PBE | relaxed

As for the space group: P4/mmm. For the total energy, the calculation gives -4.275 eV/atom. The crystal system is tetragonal. As for the formation enthalpy at 0 K: 1914 meV per atom. The calculation puts the magnetic moment at 0.0 Bohr magnetons per cell.

a b c (Å): 4.183 3.818 4.183
angles (deg): 90.00 90.00 90.00
Fractional coordinates of all 5 atoms:
Na: 0.000 0.500 0.000
Li: 0.000 0.000 0.000
Fe: 0.500 0.500 0.500
Cr: 0.500 0.000 0.000
Cr: 0.000 0.000 0.500